# MnOs (PBE, optimized geometry)
data_MnOs
_symmetry_space_group_name_H-M 'P 1'
_symmetry_Int_Tables_number 1
_symmetry_space_group_name_Hall 'P 1'
_cell_length_a 2.671
_cell_length_b 2.671
_cell_length_c 8.279
_cell_angle_alpha 90.00
_cell_angle_beta 90.00
_cell_angle_gamma 120.00
loop_
_atom_site_label
_atom_site_fract_x
_atom_site_fract_y
_atom_site_fract_z
Mn1 0.333 0.667 0.384
Mn2 0.667 0.333 0.616
Os1 0.333 0.667 0.864
Os2 0.667 0.333 0.136
# SG   P-3m1
# Energy relative to the elements   0.08 eV per atom